Computed, not measured: crystalline SrNpCrO6 at its relaxed geometry at the PBE+U level of DFT.

a = 5.3879 Å, b = 5.3879 Å, c = 10.7819 Å
α = 90.00°, β = 90.00°, γ = 120.00°
Space group P-31c (No. 163)
Unique sites:
Sr (0.0000, 0.0000, 0.0000)
Np (0.3333, 0.6667, 0.2500)
Cr (0.3333, 0.6667, 0.7500)
O (0.0008, 0.3698, 0.6486)

Output
total energy = -8.323 eV/atom